The following is a DFT calculation (PBE-GGA) of CrCuP after structural relaxation.

Results
- crystal system = cubic
- E_form (eV/atom) = -0.07
- size of the total moment (μB/f.u.) = 1.93
- volume (A^3/atom) = 13.49

Lattice parameters (Å, degrees): 5.449 5.449 5.449 90.00 90.00 90.00
Space group F-43m (No. 216)
Symmetry-distinct sites (fractional):
Cr1 0.000 0.000 0.000
Cu1 0.000 0.000 0.500
P1 0.250 0.250 0.750